First-principles (GGA-PBE) data for crystalline Pm4Ho7Th at its relaxed geometry, as listed in Alexandria via LeMat-Bulk.

Geometry as POSCAR:
```
Pm4Ho7Th
1.0
6.074 -2.973 0.000
6.074 2.973 0.000
-6.028 0.000 11.215
Pm Ho Th
4 7 1
Cartesian
-1.249 0.000 3.692
3.048 0.000 2.500
3.072 0.000 8.715
7.370 0.000 7.523
0.000 0.000 0.000
-3.014 0.000 10.357
-1.101 0.000 7.659
1.441 0.000 5.568
4.679 0.000 5.647
7.221 0.000 3.557
9.135 0.000 0.858
6.074 0.000 0.000
```

Density of states at the Fermi level ... 18.2 states/eV/f.u.
Relative energy among the computed polymorphs ... 0.2756 eV/atom
SG ... C2/m (12)
Energy of formation from the pure elements ... 296 meV/atom
M_tot ... 0.0 μB/f.u.
E_tot ... -54.92 eV per cell
Calculated volume ... 33.8 Å³/atom